Entry 1:
NaMn4O8 | meta-GGA SCAN | single point on PBEsol structure

Output
Energy relative to the elements, uncorrected = -205 kJ/mol of atoms

Unit cell a=6.583 b=6.583 c=6.583 alpha=50.94 beta=50.94 gamma=50.94
Atoms (fractional coordinates):
Na: 0.000 0.000 0.000
Mn: 0.000 0.000 0.500
Mn: 0.000 0.500 0.000
Mn: 0.500 0.000 0.000
Mn: 0.500 0.500 0.500
O: 0.220 0.726 0.726
O: 0.223 0.223 0.223
O: 0.274 0.274 0.780
O: 0.274 0.780 0.274
O: 0.726 0.220 0.726
O: 0.726 0.726 0.220
O: 0.777 0.777 0.777
O: 0.780 0.274 0.274

Entry 2:
K2BeZn | meta-GGA SCAN | single point on PBEsol structure

Output
Formation enthalpy at 0 K = 442 meV per atom

Unit cell a=3.396 b=3.396 c=10.002 alpha=90.00 beta=90.00 gamma=90.00
Atoms (fractional coordinates):
K: 0.000 0.000 0.000
K: 0.500 0.500 0.411
Be: 0.500 0.500 0.727
Zn: 0.000 0.000 0.681

Entry 3:
MgBiN2F | meta-GGA SCAN | single point on PBEsol structure

Output
Energy relative to the elements, uncorrected = -13 kJ/mol of atoms

Unit cell a=4.130 b=4.130 c=3.703 alpha=90.00 beta=90.00 gamma=90.00
Atoms (fractional coordinates):
Mg: 0.000 0.000 0.000
Bi: 0.500 0.500 0.500
N: 0.000 0.500 0.000
N: 0.500 0.000 0.000
F: 0.000 0.000 0.500

Entry 4:
Ba11C2N10 | meta-GGA SCAN | single point on PBEsol structure

Output
Energy relative to the elements, uncorrected = -66 kJ/mol of atoms

Unit cell a=16.214 b=16.214 c=4.086 alpha=90.00 beta=90.00 gamma=90.00
Atoms (fractional coordinates):
Ba: 0.000 0.000 0.000
Ba: 0.020 0.208 0.500
Ba: 0.118 0.619 0.500
Ba: 0.119 0.382 0.000
Ba: 0.175 0.825 0.000
Ba: 0.208 0.020 0.500
Ba: 0.292 0.520 0.000
Ba: 0.325 0.325 0.500
Ba: 0.381 0.882 0.500
Ba: 0.382 0.119 0.000
Ba: 0.480 0.708 0.000
Ba: 0.500 0.500 0.500
Ba: 0.520 0.292 0.000
Ba: 0.618 0.881 0.000
Ba: 0.619 0.118 0.500
Ba: 0.675 0.675 0.500
Ba: 0.708 0.480 0.000
Ba: 0.792 0.980 0.500
Ba: 0.825 0.175 0.000
Ba: 0.881 0.618 0.000
Ba: 0.882 0.381 0.500
Ba: 0.980 0.792 0.500
C: 0.178 0.178 0.000
C: 0.322 0.678 0.500
C: 0.678 0.322 0.500
C: 0.822 0.822 0.000
N: 0.035 0.688 0.000
N: 0.095 0.905 0.500
N: 0.124 0.124 0.000
N: 0.188 0.465 0.500
N: 0.232 0.232 0.000
N: 0.268 0.732 0.500
N: 0.312 0.965 0.000
N: 0.376 0.624 0.500
N: 0.405 0.405 0.000
N: 0.465 0.188 0.500
N: 0.535 0.812 0.500
N: 0.595 0.595 0.000
N: 0.624 0.376 0.500
N: 0.688 0.035 0.000
N: 0.732 0.268 0.500
N: 0.768 0.768 0.000
N: 0.812 0.535 0.500
N: 0.876 0.876 0.000
N: 0.905 0.095 0.500
N: 0.965 0.312 0.000